DFT (GGA-PBEsol) results for crystalline Zr3Te at its relaxed geometry.

Computed properties:
Uncorrected formation energy   -0.42 eV per atom
VASP energy   -32.46 eV/cell
SG   Cmmm, No. 65

a = 4.928 Å, b = 4.928 Å, c = 3.612 Å
α = 90.00°, β = 90.00°, γ = 103.14°
Sites, in units of the cell vectors:
Zr 0.000 0.000 0.000
Zr 0.000 0.500 0.500
Zr 0.500 0.000 0.500
Te 0.500 0.500 0.000



DFT (GGA-PBEsol) results for crystalline Cr2CuMo at its relaxed geometry.

Computed properties:
VASP energy   -35.48 eV/cell
Energy relative to the elements   0.28 eV per atom
SG   P4mm, No. 99

a = 2.823 Å, b = 2.823 Å, c = 6.236 Å
α = 90.00°, β = 90.00°, γ = 90.00°
Sites, in units of the cell vectors:
Cr 0.000 0.000 0.000
Cr 0.500 0.500 0.191
Cu 0.000 0.000 0.440
Mo 0.500 0.500 0.726



DFT (GGA-PBEsol) results for crystalline Li3Mn4VO8 at its relaxed geometry.

Computed properties:
Uncorrected formation energy   -1.78 eV per atom
VASP energy   -125.01 eV/cell
SG   C2/m, No. 12

a = 5.903 Å, b = 5.903 Å, c = 5.760 Å
α = 117.87°, β = 117.87°, γ = 57.45°
Sites, in units of the cell vectors:
Li 0.000 0.000 0.000
Li 0.000 0.500 0.000
Li 0.500 0.000 0.000
Mn 0.000 0.000 0.500
Mn 0.000 0.500 0.500
Mn 0.500 0.000 0.500
Mn 0.500 0.500 0.000
V 0.500 0.500 0.500
O 0.236 0.739 0.241
O 0.257 0.257 0.738
O 0.261 0.764 0.759
O 0.265 0.265 0.286
O 0.735 0.735 0.714
O 0.739 0.236 0.241
O 0.743 0.743 0.262
O 0.764 0.261 0.759



DFT (GGA-PBEsol) results for crystalline AlAg4P at its relaxed geometry.

Computed properties:
VASP energy   -21.08 eV/cell
Energy relative to the elements   0.34 eV per atom
SG   F-43m, No. 216

a = 5.321 Å, b = 5.321 Å, c = 5.321 Å
α = 60.00°, β = 60.00°, γ = 60.00°
Sites, in units of the cell vectors:
Al 0.000 0.000 0.000
Ag 0.375 0.375 0.375
Ag 0.375 0.375 0.875
Ag 0.375 0.875 0.375
Ag 0.875 0.375 0.375
P 0.750 0.750 0.750



DFT (GGA-PBEsol) results for crystalline NbTlBr2 at its relaxed geometry.

Computed properties:
Uncorrected formation energy   0.31 eV per atom
VASP energy   -15.97 eV/cell
SG   Fm-3m, No. 225

a = 4.970 Å, b = 4.970 Å, c = 4.970 Å
α = 60.00°, β = 60.00°, γ = 60.00°
Sites, in units of the cell vectors:
Nb 0.000 0.000 0.000
Tl 0.500 0.500 0.500
Br 0.250 0.250 0.250
Br 0.750 0.750 0.750



DFT (GGA-PBEsol) results for crystalline HgHSeBr2 at its relaxed geometry.

Computed properties:
VASP energy   -9.85 eV/cell
SG   P4/mmm, No. 123

a = 5.328 Å, b = 5.328 Å, c = 3.511 Å
α = 90.00°, β = 90.00°, γ = 90.00°
Sites, in units of the cell vectors:
Hg 0.000 0.000 0.000
H 0.500 0.500 0.500
Se 0.500 0.500 0.000
Br 0.000 0.500 0.500
Br 0.500 0.000 0.500



DFT (GGA-PBEsol) results for crystalline CdW2Cl at its relaxed geometry.

Computed properties:
Uncorrected formation energy   1.21 eV per atom
VASP energy   -25.99 eV/cell
SG   Pmmm, No. 47

a = 2.741 Å, b = 4.770 Å, c = 5.358 Å
α = 90.00°, β = 90.00°, γ = 90.00°
Sites, in units of the cell vectors:
Cd 0.000 0.000 0.000
W 0.500 0.500 0.238
W 0.500 0.500 0.762
Cl 0.000 0.000 0.500



DFT (GGA-PBEsol) results for crystalline SrNiSe2 at its relaxed geometry.

Computed properties:
Uncorrected formation energy   -0.85 eV per atom
VASP energy   -19.12 eV/cell
SG   R-3m, No. 166

a = 6.711 Å, b = 6.711 Å, c = 6.711 Å
α = 34.43°, β = 34.43°, γ = 34.43°
Sites, in units of the cell vectors:
Sr 0.000 0.000 0.000
Ni 0.500 0.500 0.500
Se 0.230 0.230 0.230
Se 0.770 0.770 0.770



DFT (GGA-PBEsol) results for crystalline Pm2S3 at its relaxed geometry.

Computed properties:
Uncorrected formation energy   -2.02 eV per atom
VASP energy   -67.09 eV/cell
SG   R-3c, No. 167

a = 7.398 Å, b = 7.398 Å, c = 7.398 Å
α = 57.04°, β = 57.04°, γ = 57.04°
Sites, in units of the cell vectors:
Pm 0.146 0.146 0.146
Pm 0.354 0.354 0.354
Pm 0.646 0.646 0.646
Pm 0.854 0.854 0.854
S 0.046 0.750 0.454
S 0.250 0.546 0.954
S 0.454 0.046 0.750
S 0.546 0.954 0.250
S 0.750 0.454 0.046
S 0.954 0.250 0.546



DFT (GGA-PBEsol) results for crystalline YTc3Hg at its relaxed geometry.

Computed properties:
VASP energy   -29.51 eV/cell
Energy relative to the elements   2.34 eV per atom
SG   Pm-3m, No. 221

a = 4.700 Å, b = 4.700 Å, c = 4.700 Å
α = 90.00°, β = 90.00°, γ = 90.00°
Sites, in units of the cell vectors:
Y 0.000 0.000 0.000
Tc 0.000 0.000 0.500
Tc 0.000 0.500 0.000
Tc 0.500 0.000 0.000
Hg 0.500 0.500 0.500



DFT (GGA-PBEsol) results for crystalline LiTl at its relaxed geometry.

Computed properties:
VASP energy   -9.97 eV/cell
Energy relative to the elements   -0.19 eV per atom
SG   Pmmn, No. 59

a = 3.283 Å, b = 5.038 Å, c = 5.183 Å
α = 90.00°, β = 90.00°, γ = 90.00°
Sites, in units of the cell vectors:
Li 0.250 0.250 0.108
Li 0.750 0.750 0.892
Tl 0.250 0.750 0.365
Tl 0.750 0.250 0.635



DFT (GGA-PBEsol) results for crystalline Na2Te2I at its relaxed geometry.

Computed properties:
Uncorrected formation energy   -0.55 eV per atom
VASP energy   -14.38 eV/cell
SG   I4/mmm, No. 139

a = 6.349 Å, b = 6.349 Å, c = 6.349 Å
α = 123.90°, β = 123.90°, γ = 83.37°
Sites, in units of the cell vectors:
Na 0.250 0.750 0.500
Na 0.750 0.250 0.500
Te 0.144 0.144 0.000
Te 0.856 0.856 0.000
I 0.500 0.500 0.000



DFT (GGA-PBEsol) results for crystalline Ba2ErZn2CuO7 at its relaxed geometry.

Computed properties:
Uncorrected formation energy   -2.06 eV per atom
VASP energy   -80.27 eV/cell
SG   Pmmm, No. 47

a = 3.853 Å, b = 3.926 Å, c = 11.392 Å
α = 90.00°, β = 90.00°, γ = 90.00°
Sites, in units of the cell vectors:
Ba 0.000 0.000 0.181
Ba 0.000 0.000 0.819
Er 0.000 0.000 0.500
Zn 0.500 0.500 0.343
Zn 0.500 0.500 0.657
Cu 0.500 0.500 0.000
O 0.000 0.500 0.380
O 0.000 0.500 0.620
O 0.500 0.000 0.000
O 0.500 0.000 0.379
O 0.500 0.000 0.621
O 0.500 0.500 0.163
O 0.500 0.500 0.837



DFT (GGA-PBEsol) results for crystalline Te2As2Cl at its relaxed geometry.

Computed properties:
Uncorrected formation energy   0.11 eV per atom
VASP energy   -18.73 eV/cell
SG   I4/mmm, No. 139

a = 6.834 Å, b = 6.834 Å, c = 6.834 Å
α = 137.69°, β = 137.69°, γ = 61.37°
Sites, in units of the cell vectors:
Te 0.148 0.148 0.000
Te 0.852 0.852 0.000
As 0.250 0.750 0.500
As 0.750 0.250 0.500
Cl 0.500 0.500 0.000



DFT (GGA-PBEsol) results for crystalline Ce2ThS3 at its relaxed geometry.

Computed properties:
Uncorrected formation energy   -2.04 eV per atom
VASP energy   -46.70 eV/cell
SG   P-3m1, No. 164

a = 3.976 Å, b = 3.976 Å, c = 9.699 Å
α = 90.00°, β = 90.00°, γ = 120.00°
Sites, in units of the cell vectors:
Ce 0.333 0.667 0.165
Ce 0.667 0.333 0.835
Th 0.000 0.000 0.500
S 0.000 0.000 0.000
S 0.333 0.667 0.670
S 0.667 0.333 0.330



DFT (GGA-PBEsol) results for crystalline Li2Te2Os at its relaxed geometry.

Computed properties:
Uncorrected formation energy   0.00 eV per atom
VASP energy   -46.38 eV/cell
SG   P4/mbm, No. 127

a = 6.934 Å, b = 6.934 Å, c = 4.284 Å
α = 90.00°, β = 90.00°, γ = 90.00°
Sites, in units of the cell vectors:
Li 0.161 0.339 0.000
Li 0.339 0.839 0.000
Li 0.661 0.161 0.000
Li 0.839 0.661 0.000
Te 0.159 0.659 0.500
Te 0.341 0.159 0.500
Te 0.659 0.841 0.500
Te 0.841 0.341 0.500
Os 0.000 0.000 0.500
Os 0.500 0.500 0.500



DFT (GGA-PBEsol) results for crystalline Na2Ag2Hg at its relaxed geometry.

Computed properties:
VASP energy   -20.13 eV/cell
Energy relative to the elements   -0.02 eV per atom
SG   P4/mbm, No. 127

a = 7.162 Å, b = 7.162 Å, c = 4.429 Å
α = 90.00°, β = 90.00°, γ = 90.00°
Sites, in units of the cell vectors:
Na 0.170 0.330 0.000
Na 0.330 0.830 0.000
Na 0.670 0.170 0.000
Na 0.830 0.670 0.000
Ag 0.133 0.633 0.500
Ag 0.367 0.133 0.500
Ag 0.633 0.867 0.500
Ag 0.867 0.367 0.500
Hg 0.000 0.000 0.500
Hg 0.500 0.500 0.500



DFT (GGA-PBEsol) results for crystalline Zr5Ag at its relaxed geometry.

Computed properties:
VASP energy   -44.94 eV/cell
Energy relative to the elements   0.64 eV per atom
SG   P6/mmm, No. 191

a = 5.738 Å, b = 5.738 Å, c = 4.860 Å
α = 90.00°, β = 90.00°, γ = 120.00°
Sites, in units of the cell vectors:
Zr 0.000 0.500 0.000
Zr 0.333 0.667 0.500
Zr 0.500 0.000 0.000
Zr 0.500 0.500 0.000
Zr 0.667 0.333 0.500
Ag 0.000 0.000 0.500



DFT (GGA-PBEsol) results for crystalline LiHgPb2 at its relaxed geometry.

Computed properties:
VASP energy   -11.08 eV/cell
Energy relative to the elements   -0.14 eV per atom
SG   I4/mmm, No. 139

a = 5.625 Å, b = 5.625 Å, c = 5.625 Å
α = 131.01°, β = 131.01°, γ = 71.80°
Sites, in units of the cell vectors:
Li 0.000 0.000 0.000
Hg 0.500 0.500 0.000
Pb 0.250 0.750 0.500
Pb 0.750 0.250 0.500



DFT (GGA-PBEsol) results for crystalline MnSiSe3 at its relaxed geometry.

Computed properties:
Uncorrected formation energy   0.37 eV per atom
VASP energy   -25.23 eV/cell
SG   Pm-3m, No. 221

a = 4.718 Å, b = 4.718 Å, c = 4.718 Å
α = 90.00°, β = 90.00°, γ = 90.00°
Sites, in units of the cell vectors:
Mn 0.000 0.000 0.000
Si 0.500 0.500 0.500
Se 0.000 0.000 0.500
Se 0.000 0.500 0.000
Se 0.500 0.000 0.000



DFT (GGA-PBEsol) results for crystalline YMnSi2 at its relaxed geometry.

Computed properties:
Uncorrected formation energy   -0.21 eV per atom
VASP energy   -28.90 eV/cell
SG   P4/mmm, No. 123

a = 4.062 Å, b = 4.062 Å, c = 3.997 Å
α = 90.00°, β = 90.00°, γ = 90.00°
Sites, in units of the cell vectors:
Y 0.000 0.000 0.000
Mn 0.500 0.500 0.000
Si 0.000 0.500 0.500
Si 0.500 0.000 0.500



DFT (GGA-PBEsol) results for crystalline ZnAg2As2 at its relaxed geometry.

Computed properties:
VASP energy   -16.94 eV/cell
Energy relative to the elements   0.30 eV per atom
SG   I4/mmm, No. 139

a = 7.446 Å, b = 7.446 Å, c = 7.446 Å
α = 151.33°, β = 151.33°, γ = 40.99°
Sites, in units of the cell vectors:
Zn 0.000 0.000 0.000
Ag 0.407 0.407 0.000
Ag 0.593 0.593 0.000
As 0.250 0.750 0.500
As 0.750 0.250 0.500



DFT (GGA-PBEsol) results for crystalline FeIBr2 at its relaxed geometry.

Computed properties:
Uncorrected formation energy   0.70 eV per atom
VASP energy   -11.68 eV/cell
SG   Fm-3m, No. 225

a = 5.134 Å, b = 5.134 Å, c = 5.134 Å
α = 60.00°, β = 60.00°, γ = 60.00°
Sites, in units of the cell vectors:
Fe 0.000 0.000 0.000
I 0.500 0.500 0.500
Br 0.250 0.250 0.250
Br 0.750 0.750 0.750



DFT (GGA-PBEsol) results for crystalline LaZrTe2Os at its relaxed geometry.

Computed properties:
Uncorrected formation energy   1.23 eV per atom
VASP energy   -27.55 eV/cell
SG   P4/mmm, No. 123

a = 5.825 Å, b = 5.825 Å, c = 4.825 Å
α = 90.00°, β = 90.00°, γ = 90.00°
Sites, in units of the cell vectors:
La 0.000 0.000 0.000
Zr 0.500 0.500 0.500
Te 0.000 0.500 0.000
Te 0.500 0.000 0.000
Os 0.000 0.000 0.500



DFT (GGA-PBEsol) results for crystalline Y2MgIr at its relaxed geometry.

Computed properties:
VASP energy   -26.24 eV/cell
Energy relative to the elements   -0.26 eV per atom
SG   P4mm, No. 99

a = 3.316 Å, b = 3.316 Å, c = 8.420 Å
α = 90.00°, β = 90.00°, γ = 90.00°
Sites, in units of the cell vectors:
Y 0.000 0.000 0.000
Y 0.500 0.500 0.351
Mg 0.000 0.000 0.634
Ir 0.500 0.500 0.809



DFT (GGA-PBEsol) results for crystalline MgZrSc2 at its relaxed geometry.

Computed properties:
VASP energy   -23.97 eV/cell
Energy relative to the elements   0.01 eV per atom
SG   P4mm, No. 99

a = 3.173 Å, b = 3.173 Å, c = 9.036 Å
α = 90.00°, β = 90.00°, γ = 90.00°
Sites, in units of the cell vectors:
Mg 0.000 0.000 0.000
Zr 0.500 0.500 0.750
Sc 0.000 0.000 0.513
Sc 0.500 0.500 0.251



DFT (GGA-PBEsol) results for crystalline Be2TcSb at its relaxed geometry.

Computed properties:
Uncorrected formation energy   0.23 eV per atom
VASP energy   -22.90 eV/cell
SG   C2/m, No. 12

a = 4.448 Å, b = 4.448 Å, c = 4.237 Å
α = 107.08°, β = 107.08°, γ = 43.39°
Sites, in units of the cell vectors:
Be 0.229 0.229 0.147
Be 0.771 0.771 0.853
Tc 0.500 0.500 0.000
Sb 0.000 0.000 0.500